A plane-wave DFT calculation with PBE+U was carried out for an optimized crystal structure of AcCoPO.

Geometry as POSCAR:
```
AcCoPO
1.0
4.607 0.000 0.000
0.000 4.607 0.000
0.000 0.000 8.652
Ac Co P O
2 2 2 2
Cartesian
1.152 3.455 0.000 Ac
3.455 1.152 0.000 Ac
1.152 1.152 4.133 Co
3.455 3.455 4.519 Co
1.152 1.152 1.739 P
3.455 3.455 6.914 P
1.152 3.455 4.326 O
3.455 1.152 4.326 O
```

Values from the calculation:
Space group = P4/nmm, No. 129
Excess energy over the best structure of this formula in the dataset = 1760 meV per atom
Crystal system = tetragonal
Spin magnetization = 6.35 μB/cell